# PBE-GGA Ca6As2PSe, relaxed
# - Magnetic moment: 0.99 μB/f.u.
# - Crystal system: monoclinic
# - Energy relative to the elements, uncorrected: -1198 meV/atom
# - Calculated total energy: -4.218 eV per atom
# - DOS(E_F): 5.70 states/eV per cell
# - Mass density: 2.89 g/cm3
data_Ca6As2PSe
_symmetry_space_group_name_H-M 'P 1 21/c 1'
_symmetry_Int_Tables_number 14
_cell_length_a 7.092
_cell_length_b 7.814
_cell_length_c 12.528
_cell_angle_alpha 90.00
_cell_angle_beta 123.97
_cell_angle_gamma 90.00
loop_
_symmetry_equiv_pos_as_xyz
'x,y,z'
'-x,-y,-z'
'-x,y+1/2,-z+1/2'
'x,-y+1/2,z+1/2'
loop_
_atom_site_label
_atom_site_fract_x
_atom_site_fract_y
_atom_site_fract_z
Ca1 0.088 0.068 0.244
Ca2 0.252 0.694 0.078
Ca3 0.390 0.180 0.075
As1 0.289 0.093 0.750
P1 0.000 0.000 0.000
Se1 0.500 0.000 0.500



# PBE-GGA Zr4CoP, relaxed
# - DFT formation energy: 629 meV/atom
# - Magnetic moment: 0.88 μB/f.u.
# - Crystal system: cubic
# - Calculated total energy: -7.156 eV per atom
# - DOS(E_F): 33.28 states/eV per cell
# - Mass density: 6.19 g/cm3
data_Zr4CoP
_symmetry_space_group_name_H-M 'F -4 3 m'
_symmetry_Int_Tables_number 216
_symmetry_space_group_name_Hall 'F -4 2 3'
_cell_length_a 7.873
_cell_length_b 7.873
_cell_length_c 7.873
_cell_angle_alpha 90.00
_cell_angle_beta 90.00
_cell_angle_gamma 90.00
loop_
_atom_site_label
_atom_site_fract_x
_atom_site_fract_y
_atom_site_fract_z
Zr1 0.124 0.124 0.124
Co1 0.250 0.250 0.750
P1 0.000 0.000 0.500



# PBE-GGA Tl4CuBr6, relaxed
# - Magnetic moment: 1.09 μB/f.u.
# - Crystal system: tetragonal
# - Energy relative to the elements, uncorrected: -672 meV/atom
# - Calculated total energy: -2.817 eV per atom
# - DOS(E_F): 10.85 states/eV per cell
# - Mass density: 6.14 g/cm3
data_Tl4CuBr6
_symmetry_space_group_name_H-M 'P 4/m n c'
_symmetry_Int_Tables_number 128
_symmetry_space_group_name_Hall '-P 4 2n'
_cell_length_a 8.921
_cell_length_b 8.921
_cell_length_c 9.253
_cell_angle_alpha 90.00
_cell_angle_beta 90.00
_cell_angle_gamma 90.00
loop_
_atom_site_label
_atom_site_fract_x
_atom_site_fract_y
_atom_site_fract_z
Tl1 0.152 0.348 0.250
Cu1 0.000 0.000 0.000
Br1 0.000 0.000 0.259
Br2 0.133 0.707 0.000



# PBE-GGA Rh8Br, relaxed
# - Magnetic moment: 0.00 μB/f.u.
# - Crystal system: tetragonal
# - Energy relative to the elements, uncorrected: 321 meV/atom
# - Calculated total energy: -6.399 eV per atom
# - DOS(E_F): 30.08 states/eV per cell
# - Mass density: 11.18 g/cm3
data_Rh8Br
_symmetry_space_group_name_H-M 'I 4/m m m'
_symmetry_Int_Tables_number 139
_symmetry_space_group_name_Hall '-I 4 2'
_cell_length_a 8.287
_cell_length_b 8.287
_cell_length_c 3.905
_cell_angle_alpha 90.00
_cell_angle_beta 90.00
_cell_angle_gamma 90.00
loop_
_atom_site_label
_atom_site_fract_x
_atom_site_fract_y
_atom_site_fract_z
Rh1 0.000 0.337 0.000
Rh2 0.176 0.176 0.500
Br1 0.000 0.000 0.000



# PBE-GGA GdScPt, relaxed
# - DFT formation energy: -799 meV/atom
# - Magnetic moment: 7.19 μB/f.u.
# - Crystal system: cubic
# - Calculated total energy: -9.617 eV per atom
# - DOS(E_F): 11.88 states/eV per cell
# - Mass density: 8.70 g/cm3
# - Polymorph energy (0 for the lowest one): 0 kJ/mol of formula units
data_GdScPt
_symmetry_space_group_name_H-M 'F -4 3 m'
_symmetry_Int_Tables_number 216
_symmetry_space_group_name_Hall 'F -4 2 3'
_cell_length_a 6.718
_cell_length_b 6.718
_cell_length_c 6.718
_cell_angle_alpha 90.00
_cell_angle_beta 90.00
_cell_angle_gamma 90.00
loop_
_atom_site_label
_atom_site_fract_x
_atom_site_fract_y
_atom_site_fract_z
Gd1 0.000 0.000 0.000
Sc1 0.000 0.000 0.500
Pt1 0.250 0.250 0.250



# PBE-GGA SrNi2Cl, relaxed
# - Magnetic moment: 0.93 μB/f.u.
# - Crystal system: tetragonal
# - Energy relative to the elements, uncorrected: -313 meV/atom
# - Calculated total energy: -4.086 eV per atom
# - DOS(E_F): 4.57 states/eV per cell
# - Mass density: 4.52 g/cm3
# - Polymorph energy (0 for the lowest one): 21 kJ/mol of formula units
data_SrNi2Cl
_symmetry_space_group_name_H-M 'P 4 m m'
_symmetry_Int_Tables_number 99
_cell_length_a 3.404
_cell_length_b 3.404
_cell_length_c 7.624
_cell_angle_alpha 90.00
_cell_angle_beta 90.00
_cell_angle_gamma 90.00
loop_
_symmetry_equiv_pos_as_xyz
'x,y,z'
'-y,x,z'
'-x,-y,z'
'y,-x,z'
'-x,y,z'
'y,x,z'
'x,-y,z'
'-y,-x,z'
loop_
_atom_site_label
_atom_site_fract_x
_atom_site_fract_y
_atom_site_fract_z
Sr1 0.000 0.000 0.000
Ni1 0.000 0.000 0.637
Ni2 0.500 0.500 0.700
Cl1 0.500 0.500 0.211